Model one:
An optimized crystal structure of NbVOF2. Source: the Alexandria database, functional PBE+U.

Summary:
Total magnetic moment = 1.17 μB/atom

Cell lengths 4.335, 4.335, 3.994 Å; angles 90.00, 90.00, 90.00 degrees
Space group P4/mmm (No. 123)
One atom of each set of equivalent atoms:
Nb  0.000  0.000  0.000 (multiplicity 1)
V  0.500  0.500  0.500 (multiplicity 1)
O  0.000  0.000  0.500 (multiplicity 1)
F  0.000  0.500  0.000 (multiplicity 2)

Model two:
An optimized crystal structure of NbVOF2. Source: the Alexandria database, functional PBE+U.

Summary:
Total magnetic moment = 0.88 μB/atom

Cell lengths 4.092, 4.092, 3.893 Å; angles 90.00, 90.00, 90.00 degrees
Space group P4/mmm (No. 123)
One atom of each set of equivalent atoms:
Nb  0.000  0.000  0.000 (multiplicity 1)
V  0.500  0.500  0.500 (multiplicity 1)
O  0.500  0.500  0.000 (multiplicity 1)
F  0.000  0.500  0.500 (multiplicity 2)

How far above the most stable structure does each one sit? In meV/atom: model one 0; model two 308.